(w)
A plane-wave DFT calculation with PBE was carried out for an optimized crystal structure of GdScPb2.

Lattice parameters (Å, degrees): 4.9495 4.9495 15.7504 90.00 90.00 120.00
Atoms (fractional coordinates):
Gd  0.0000  0.0000  0.0000
Gd  0.3333  0.6667  0.6667
Gd  0.6667  0.3333  0.3333
Sc  0.0000  0.0000  0.5000
Sc  0.3333  0.6667  0.1667
Sc  0.6667  0.3333  0.8333
Pb  0.0000  0.0000  0.2426
Pb  0.0000  0.0000  0.7574
Pb  0.3333  0.6667  0.4241
Pb  0.3333  0.6667  0.9093
Pb  0.6667  0.3333  0.0907
Pb  0.6667  0.3333  0.5759

(x)
A plane-wave DFT calculation with PBE was carried out for an optimized crystal structure of GdScPb2.

Lattice parameters (Å, degrees): 7.5701 7.5701 7.5701 90.00 90.00 90.00
Atoms (fractional coordinates):
Gd  0.0000  0.0000  0.0000
Gd  0.0000  0.5000  0.5000
Gd  0.5000  0.0000  0.5000
Gd  0.5000  0.5000  0.0000
Sc  0.0000  0.0000  0.5000
Sc  0.0000  0.5000  0.0000
Sc  0.5000  0.0000  0.0000
Sc  0.5000  0.5000  0.5000
Pb  0.2500  0.2500  0.2500
Pb  0.2500  0.2500  0.7500
Pb  0.2500  0.7500  0.2500
Pb  0.2500  0.7500  0.7500
Pb  0.7500  0.2500  0.2500
Pb  0.7500  0.2500  0.7500
Pb  0.7500  0.7500  0.2500
Pb  0.7500  0.7500  0.7500

(y)
A plane-wave DFT calculation with PBE was carried out for an optimized crystal structure of GdScPb2.

Lattice parameters (Å, degrees): 3.9665 3.9665 6.8313 90.00 90.00 90.00
Atoms (fractional coordinates):
Gd  0.0000  0.0000  0.0000
Sc  0.0000  0.0000  0.5000
Pb  0.5000  0.5000  0.2676
Pb  0.5000  0.5000  0.7324

Tell me which of them is the least stable. Sure, it is (x).

(w)
A plane-wave DFT calculation with PBE was carried out for an optimized crystal structure of Gd2PbSe.

Lattice parameters (Å, degrees): 3.5619 3.5619 8.1529 90.00 90.00 90.00
Atoms (fractional coordinates):
Gd  0.0000  0.0000  0.2231
Gd  0.0000  0.0000  0.7769
Pb  0.5000  0.5000  0.5000
Se  0.5000  0.5000  0.0000

(x)
A plane-wave DFT calculation with PBE was carried out for an optimized crystal structure of Gd2PbSe.

Lattice parameters (Å, degrees): 4.2617 4.2617 21.7024 90.00 90.00 120.00
Atoms (fractional coordinates):
Gd  0.0000  0.0000  0.2445
Gd  0.0000  0.0000  0.7555
Gd  0.3333  0.6667  0.4222
Gd  0.3333  0.6667  0.9112
Gd  0.6667  0.3333  0.0888
Gd  0.6667  0.3333  0.5778
Pb  0.0000  0.0000  0.0000
Pb  0.3333  0.6667  0.6667
Pb  0.6667  0.3333  0.3333
Se  0.0000  0.0000  0.5000
Se  0.3333  0.6667  0.1667
Se  0.6667  0.3333  0.8333

Tell me which of them is the least stable. Sure, it is (w).